Here is a geometry-optimized SrLa2In structure from Alexandria. Energies are from PBE.

* DOS at the Fermi energy: 18.74 states/eV per cell
* energy of formation from the pure elements: 4 meV/atom
* VASP energy: -3.565 eV/atom

The structure in CIF format:
```
data_SrLa2In
_chemical_formula_sum 'Sr3 La6 In3'
_space_group_name_H-M_alt 'R 3 m'
_space_group_IT_number 160
_space_group_name_Hall 'R 3 -2"'
_cell_length_a 5.5350
_cell_length_b 5.5350
_cell_length_c 18.2096
_cell_angle_alpha 90.00
_cell_angle_beta 90.00
_cell_angle_gamma 120.00
loop_
_atom_site_label
_atom_site_type_symbol
_atom_site_fract_x
_atom_site_fract_y
_atom_site_fract_z
_atom_site_occupancy
Sr1 Sr 0.0000 0.0000 0.0000 1
La1 La 0.0000 0.0000 0.2100 1
La2 La 0.0000 0.0000 0.4605 1
In1 In 0.0000 0.0000 0.8012 1
```


Here is a geometry-optimized VZnAgAu structure from Alexandria. Energies are from PBE.

* DOS at the Fermi energy: 25.27 states/eV per cell
* energy of formation from the pure elements: 123 meV/atom
* VASP energy: -4.008 eV/atom

The structure in CIF format:
```
data_VZnAgAu
_chemical_formula_sum 'V4 Zn4 Ag4 Au4'
_space_group_name_H-M_alt 'F -4 3 m'
_space_group_IT_number 216
_space_group_name_Hall 'F -4 2 3'
_cell_length_a 6.4025
_cell_length_b 6.4025
_cell_length_c 6.4025
_cell_angle_alpha 90.00
_cell_angle_beta 90.00
_cell_angle_gamma 90.00
loop_
_atom_site_label
_atom_site_type_symbol
_atom_site_fract_x
_atom_site_fract_y
_atom_site_fract_z
_atom_site_occupancy
V1 V 0.0000 0.0000 0.0000 1
Zn1 Zn 0.0000 0.0000 0.5000 1
Ag1 Ag 0.2500 0.2500 0.7500 1
Au1 Au 0.2500 0.2500 0.2500 1
```


Here is a geometry-optimized BaMnCo2 structure from Alexandria. Energies are from PBE.

* DOS at the Fermi energy: 38.57 states/eV per cell
* energy of formation from the pure elements: 694 meV/atom
* VASP energy: -5.632 eV/atom

The structure in CIF format:
```
data_BaMnCo2
_chemical_formula_sum 'Ba4 Mn4 Co8'
_space_group_name_H-M_alt 'I 41/a m d'
_space_group_IT_number 141
_cell_length_a 4.8418
_cell_length_b 4.8418
_cell_length_c 15.6814
_cell_angle_alpha 90.00
_cell_angle_beta 90.00
_cell_angle_gamma 90.00
loop_
_space_group_symop_operation_xyz
'x,y,z'
'-x,-y,-z'
'-y+1/4,x+3/4,z+1/4'
'y+1/4,-x+3/4,-z+1/4'
'-x+1/2,-y,z+1/2'
'x+1/2,y,-z+1/2'
'y+1/4,-x+1/4,z+3/4'
'-y+1/4,x+1/4,-z+3/4'
'x,-y,-z'
'-x,y,z'
'-y+1/4,-x+1/4,-z+3/4'
'y+1/4,x+1/4,z+3/4'
'-x+1/2,y,-z+1/2'
'x+1/2,-y,z+1/2'
'y+1/4,x+3/4,-z+1/4'
'-y+1/4,-x+3/4,z+1/4'
'x+1/2,y+1/2,z+1/2'
'-x+1/2,-y+1/2,-z+1/2'
'-y+3/4,x+1/4,z+3/4'
'y+3/4,-x+1/4,-z+3/4'
'-x,-y+1/2,z'
'x,y+1/2,-z'
'y+3/4,-x+3/4,z+1/4'
'-y+3/4,x+3/4,-z+1/4'
'x+1/2,-y+1/2,-z+1/2'
'-x+1/2,y+1/2,z+1/2'
'-y+3/4,-x+3/4,-z+1/4'
'y+3/4,x+3/4,z+1/4'
'-x,y+1/2,-z'
'x,-y+1/2,z'
'y+3/4,x+1/4,-z+3/4'
'-y+3/4,-x+1/4,z+3/4'
loop_
_atom_site_label
_atom_site_type_symbol
_atom_site_fract_x
_atom_site_fract_y
_atom_site_fract_z
_atom_site_occupancy
Ba1 Ba 0.0000 0.2500 0.3750 1
Mn1 Mn 0.0000 0.2500 0.8750 1
Co1 Co 0.0000 0.0000 0.0000 1
```


Here is a geometry-optimized BaCu2Ag structure from Alexandria. Energies are from PBE.

* DOS at the Fermi energy: 2.39 states/eV per cell
* energy of formation from the pure elements: 367 meV/atom
* VASP energy: -2.875 eV/atom

The structure in CIF format:
```
data_BaCu2Ag
_chemical_formula_sum 'Ba2 Cu4 Ag2'
_space_group_name_H-M_alt 'C m m m'
_space_group_IT_number 65
_space_group_name_Hall '-C 2 2'
_cell_length_a 7.0886
_cell_length_b 7.1066
_cell_length_c 3.5806
_cell_angle_alpha 90.00
_cell_angle_beta 90.00
_cell_angle_gamma 90.00
loop_
_atom_site_label
_atom_site_type_symbol
_atom_site_fract_x
_atom_site_fract_y
_atom_site_fract_z
_atom_site_occupancy
Ba1 Ba 0.0000 0.0000 0.0000 1
Cu1 Cu 0.2500 0.2500 0.5000 1
Ag1 Ag 0.0000 0.5000 0.0000 1
```